[1]
NdTePt | PBE-GGA | relaxed

The structure belongs to space group P3m1 (No. 156); the cell edges are 4.5265, 4.5265 and 4.2103 Å and the angles 90.00°, 90.00° and 120.00°. The inequivalent atoms are Nd at (0.0000, 0.0000, 0.0000), Te at (0.6667, 0.3333, 0.4770) and Pt at (0.3333, 0.6667, 0.5915).

The value obtained for the density of states at the Fermi level is 1.70 states/eV/f.u. For the total magnetic moment, the calculation gives 0.0 μB per cell. The electronic total energy is -17.2 eV per cell. The energy relative to the elements, uncorrected is -1.077 eV/atom.

---

[2]
LiLuHfMo | PBE-GGA | relaxed

The structure belongs to space group F-43m (No. 216); the cell edges are 6.758, 6.758 and 6.758 Å and the angles 90.00°, 90.00° and 90.00°. The inequivalent atoms are Li at (0.000, 0.000, 0.000), Lu at (0.250, 0.250, 0.750), Hf at (0.250, 0.250, 0.250) and Mo at (0.000, 0.000, 0.500).

The energy of formation from the pure elements comes out at 0.13 eV per atom. The value obtained for the density of states at the Fermi level is 3.57 states/eV/f.u. For the total magnetic moment, the calculation gives 0.0 μB per cell. The electronic total energy is -106.7 eV per cell.

---

[3]
CsCdBi | PBE-GGA | relaxed

The structure belongs to space group Cm (No. 8); the cell edges are 14.586, 4.965 and 8.581 Å and the angles 90.00°, 105.79° and 90.00°. The inequivalent atoms are Cs at (0.000, 0.000, 0.000), Cs at (0.184, 0.500, 0.619), Cd at (0.288, 0.500, 0.187), Cd at (0.404, 0.000, 0.334), Bi at (0.267, 0.000, 0.992) and Bi at (0.447, 0.500, 0.517).

The energy of formation from the pure elements comes out at -0.26 eV per atom. The value obtained for the density of states at the Fermi level is 0.00 states/eV/f.u. For the total magnetic moment, the calculation gives 0.0 μB per cell. The electronic total energy is -25.7 eV per cell.

---

[4]
BeAl2Os | PBE-GGA | relaxed

The structure belongs to space group Imm2 (No. 44); the cell edges are 3.137, 4.086 and 8.033 Å and the angles 90.00°, 90.00° and 90.00°. The inequivalent atoms are Be at (0.000, 0.000, 0.000), Al at (0.000, 0.000, 0.488), Al at (0.000, 0.500, 0.257) and Os at (0.000, 0.500, 0.726).

The energy of formation from the pure elements comes out at -0.28 eV per atom. The value obtained for the density of states at the Fermi level is 1.21 states/eV/f.u. For the total magnetic moment, the calculation gives 0.0 μB per cell. The electronic total energy is -47.1 eV per cell.

---

[5]
Tl4SiSe | PBE-GGA | relaxed

The structure belongs to space group F-43m (No. 216); the cell edges are 8.942, 8.942 and 8.942 Å and the angles 90.00°, 90.00° and 90.00°. The inequivalent atoms are Tl at (0.125, 0.125, 0.125), Si at (0.250, 0.250, 0.750) and Se at (0.000, 0.000, 0.500).

The value obtained for the density of states at the Fermi level is 4.82 states/eV/f.u. For the total magnetic moment, the calculation gives 0.0 μB per cell. The electronic total energy is -62.4 eV per cell. The energy relative to the elements, uncorrected is 0.464 eV/atom.

---

[6]
LaZnAu3 | PBE-GGA | relaxed

The structure belongs to space group Pm-3m (No. 221); the cell edges are 4.908, 4.908 and 4.908 Å and the angles 90.00°, 90.00° and 90.00°. The inequivalent atoms are La at (0.000, 0.000, 0.000), Zn at (0.500, 0.500, 0.500) and Au at (0.000, 0.500, 0.500).

The energy of formation from the pure elements comes out at -0.35 eV per atom. The value obtained for the density of states at the Fermi level is 2.68 states/eV/f.u. For the total magnetic moment, the calculation gives 0.0 μB per cell. The electronic total energy is -17.8 eV per cell.

---

Copy entry 6 word for word.
LaZnAu3 | PBE-GGA | relaxed

The structure belongs to space group Pm-3m (No. 221); the cell edges are 4.908, 4.908 and 4.908 Å and the angles 90.00°, 90.00° and 90.00°. The inequivalent atoms are La at (0.000, 0.000, 0.000), Zn at (0.500, 0.500, 0.500) and Au at (0.000, 0.500, 0.500).

The energy of formation from the pure elements comes out at -0.35 eV per atom. The value obtained for the density of states at the Fermi level is 2.68 states/eV/f.u. For the total magnetic moment, the calculation gives 0.0 μB per cell. The electronic total energy is -17.8 eV per cell.